# KTl2GaCu, optimized geometry, DFT GGA-PBE
# Calculated formation energy in meV/atom: 89
# Size of the total moment in μB/cell: 0.000
data_KTl2GaCu
_chemical_formula_sum 'K1 Tl2 Ga1 Cu1'
_cell_length_a 5.4317
_cell_length_b 5.4317
_cell_length_c 4.8467
_cell_angle_alpha 90.00
_cell_angle_beta 90.00
_cell_angle_gamma 90.00
_symmetry_space_group_name_H-M 'P 4/m m m'
_symmetry_Int_Tables_number 123
_symmetry_space_group_name_Hall '-P 4 2'
loop_
_atom_site_label
_atom_site_type_symbol
_atom_site_fract_x
_atom_site_fract_y
_atom_site_fract_z
_atom_site_occupancy
K1 K 0.0000 0.0000 0.0000 1
Tl1 Tl 0.0000 0.5000 0.5000 1
Ga1 Ga 0.5000 0.5000 0.0000 1
Cu1 Cu 0.5000 0.5000 0.5000 1

=====

# Ca2Mg5As3N2, optimized geometry, DFT GGA-PBE
# Formation energy (no corrections) in meV per atom: -859.3
# Size of the total moment in μB/cell: 0.000
data_Ca2Mg5As3N2
_chemical_formula_sum 'Ca4 Mg10 As6 N4'
_cell_length_a 4.2507
_cell_length_b 4.2507
_cell_length_c 23.7852
_cell_angle_alpha 90.00
_cell_angle_beta 90.00
_cell_angle_gamma 90.00
_symmetry_space_group_name_H-M 'I 4/m m m'
_symmetry_Int_Tables_number 139
_symmetry_space_group_name_Hall '-I 4 2'
loop_
_atom_site_label
_atom_site_type_symbol
_atom_site_fract_x
_atom_site_fract_y
_atom_site_fract_z
_atom_site_occupancy
Ca1 Ca 0.0000 0.0000 0.1942 1
Mg1 Mg 0.0000 0.0000 0.0000 1
Mg2 Mg 0.0000 0.5000 0.0911 1
As1 As 0.0000 0.0000 0.3238 1
As2 As 0.0000 0.0000 0.5000 1
N1 N 0.0000 0.0000 0.0885 1

=====

# ErVIr2, optimized geometry, DFT GGA-PBE
# Calculated formation energy in meV/atom: -428
# Energy relative to the lowest polymorph listed for this composition in eV per atom: 0.148
# Size of the total moment in μB/cell: 0.001
data_ErVIr2
_chemical_formula_sum 'Er3 V3 Ir6'
_cell_length_a 4.2492
_cell_length_b 4.2492
_cell_length_c 14.2459
_cell_angle_alpha 90.00
_cell_angle_beta 90.00
_cell_angle_gamma 120.00
_symmetry_space_group_name_H-M 'R -3 m'
_symmetry_Int_Tables_number 166
_symmetry_space_group_name_Hall '-R 3 2"'
loop_
_atom_site_label
_atom_site_type_symbol
_atom_site_fract_x
_atom_site_fract_y
_atom_site_fract_z
_atom_site_occupancy
Er1 Er 0.0000 0.0000 0.0000 1
V1 V 0.0000 0.0000 0.5000 1
Ir1 Ir 0.0000 0.0000 0.2133 1

=====

# YCd2Pt, optimized geometry, DFT GGA-PBE
# Calculated formation energy in meV/atom: -493
# Size of the total moment in μB/cell: 0.000
data_YCd2Pt
_chemical_formula_sum 'Y2 Cd4 Pt2'
_cell_length_a 3.6286
_cell_length_b 4.7692
_cell_length_c 10.1300
_cell_angle_alpha 90.00
_cell_angle_beta 90.00
_cell_angle_gamma 90.00
_symmetry_space_group_name_H-M 'I m m m'
_symmetry_Int_Tables_number 71
_symmetry_space_group_name_Hall '-I 2 2'
loop_
_atom_site_label
_atom_site_type_symbol
_atom_site_fract_x
_atom_site_fract_y
_atom_site_fract_z
_atom_site_occupancy
Y1 Y 0.0000 0.0000 0.0000 1
Cd1 Cd 0.0000 0.5000 0.2229 1
Pt1 Pt 0.0000 0.0000 0.5000 1

=====

# LaPm5In6, optimized geometry, DFT GGA-PBE
# Calculated formation energy in meV/atom: -499
# Size of the total moment in μB/cell: 0.000
data_LaPm5In6
_chemical_formula_sum 'La2 Pm10 In12'
_cell_length_a 17.2894
_cell_length_b 7.7078
_cell_length_c 5.4774
_cell_angle_alpha 90.00
_cell_angle_beta 108.06
_cell_angle_gamma 90.00
_symmetry_space_group_name_H-M 'C 1 2/m 1'
_symmetry_Int_Tables_number 12
_symmetry_space_group_name_Hall '-C 2y'
loop_
_atom_site_label
_atom_site_type_symbol
_atom_site_fract_x
_atom_site_fract_y
_atom_site_fract_z
_atom_site_occupancy
La1 La 0.0000 0.0000 0.0000 1
Pm1 Pm 0.0000 0.5000 0.0000 1
Pm2 Pm 0.1626 0.0000 0.6627 1
Pm3 Pm 0.1686 0.5000 0.6687 1
In1 In 0.0000 0.2608 0.5000 1
In2 In 0.1692 0.2553 0.1691 1

=====

# SrCrTc, optimized geometry, DFT GGA-PBE
# Calculated formation energy in meV/atom: 641
# Energy relative to the lowest polymorph listed for this composition in eV per atom: 0.061
# Size of the total moment in μB/cell: 1.245
data_SrCrTc
_chemical_formula_sum 'Sr1 Cr1 Tc1'
_cell_length_a 3.9736
_cell_length_b 3.9736
_cell_length_c 5.1530
_cell_angle_alpha 90.00
_cell_angle_beta 90.00
_cell_angle_gamma 120.00
_symmetry_space_group_name_H-M 'P -6 m 2'
_symmetry_Int_Tables_number 187
_symmetry_space_group_name_Hall 'P -6 2'
loop_
_atom_site_label
_atom_site_type_symbol
_atom_site_fract_x
_atom_site_fract_y
_atom_site_fract_z
_atom_site_occupancy
Sr1 Sr 0.0000 0.0000 0.0000 1
Cr1 Cr 0.3333 0.6667 0.5000 1
Tc1 Tc 0.6667 0.3333 0.5000 1

=====

# ZnPtN2, optimized geometry, DFT GGA-PBE
# Formation energy (no corrections) in meV per atom: 739.7
# Size of the total moment in μB/cell: 0.000
data_ZnPtN2
_chemical_formula_sum 'Zn4 Pt4 N8'
_cell_length_a 4.9092
_cell_length_b 4.9092
_cell_length_c 8.4442
_cell_angle_alpha 90.00
_cell_angle_beta 90.00
_cell_angle_gamma 90.00
_symmetry_space_group_name_H-M 'I -4 2 d'
_symmetry_Int_Tables_number 122
_symmetry_space_group_name_Hall 'I -4 2bw'
loop_
_atom_site_label
_atom_site_type_symbol
_atom_site_fract_x
_atom_site_fract_y
_atom_site_fract_z
_atom_site_occupancy
Zn1 Zn 0.0000 0.0000 0.0000 1
Pt1 Pt 0.0000 0.0000 0.5000 1
N1 N 0.2504 0.2500 0.1250 1

=====

# V3ReMo3, optimized geometry, DFT GGA-PBE
# Calculated formation energy in meV/atom: 239
# Size of the total moment in μB/cell: 0.000
data_V3ReMo3
_chemical_formula_sum 'V9 Re3 Mo9'
_cell_length_a 8.4837
_cell_length_b 8.4837
_cell_length_c 5.2429
_cell_angle_alpha 90.00
_cell_angle_beta 90.00
_cell_angle_gamma 120.00
_symmetry_space_group_name_H-M 'R 3 m'
_symmetry_Int_Tables_number 160
_symmetry_space_group_name_Hall 'R 3 -2"'
loop_
_atom_site_label
_atom_site_type_symbol
_atom_site_fract_x
_atom_site_fract_y
_atom_site_fract_z
_atom_site_occupancy
V1 V 0.1673 0.3346 0.0000 1
Re1 Re 0.0000 0.0000 0.2047 1
Mo1 Mo 0.1814 0.3628 0.4850 1